Material: NaB4Os
Method: DFT, PBE
State: optimized geometry

a = 2.9882 Å, b = 2.9882 Å, c = 7.6082 Å
α = 90.00°, β = 90.00°, γ = 120.00°
Closest atoms and distances in Å follow each position.
Positions (direct):
1 B 0.6667 0.3333 0.2219  3 B 1.73
2 B 0.3333 0.6667 0.2219  3 B 1.73
3 B 0.3333 0.6667 0.7781  3 B 1.73
4 B 0.6667 0.3333 0.7781  3 B 1.73
5 Na 0.0000 0.0000 0.5000  12 B 2.73, 6 Na 2.99
6 Os 0.0000 0.0000 0.0000  12 B 2.41

Results
Magnetic moment   0.0 Bohr magnetons per cell
Total DFT energy (no corrections)   -6.308 eV per atom
Energy above the most stable polymorph in this dataset   0.0 meV per atom
Space-group type   P6/mmm (191)


Material: NaBOs
Method: DFT, PBE
State: optimized geometry

a = 3.8300 Å, b = 3.8300 Å, c = 3.8300 Å
α = 60.00°, β = 60.00°, γ = 60.00°
Closest atoms and distances in Å follow each position.
Positions (direct):
1 Os 0.7500 0.7500 0.7500  4 B 2.35
2 Na 0.2500 0.2500 0.2500  4 B 2.35
3 B 0.0000 0.0000 0.0000  4 Na 2.35, 4 Os 2.35

Results
Magnetic moment   0.0 Bohr magnetons per cell
Total DFT energy (no corrections)   -5.306 eV per atom
Space-group type   F-43m (216)


Material: NaBOs
Method: DFT, PBE
State: optimized geometry

a = 4.0443 Å, b = 4.0443 Å, c = 4.0443 Å
α = 60.00°, β = 60.00°, γ = 60.00°
Closest atoms and distances in Å follow each position.
Positions (direct):
1 Os 0.7500 0.7500 0.7500  4 Na 2.48
2 B 0.2500 0.2500 0.2500  4 Na 2.48
3 Na 0.0000 0.0000 0.0000  4 B 2.48, 4 Os 2.48

Results
Magnetic moment   1.7 Bohr magnetons per cell
Total DFT energy (no corrections)   -3.686 eV per atom
Space-group type   F-43m (216)